1.
{
  "formula": "H6Pd8Pt",
  "functional": "PBE-GGA",
  "state": "optimized geometry",
  "magmom_total_mub_per_cell": 0.0,
  "energy_ev_per_atom": -4.563,
  "spacegroup": "P-3 (147)",
  "lattice": [[2.8378, 0.0000, 0.0000], [0.0000, 7.9649, 0.0000], [0.0000, -3.9824, 6.8978]],
  "species": ["Pd", "Pd", "H", "Pd", "H", "H", "H", "Pt", "Pd", "Pd", "Pd", "Pd", "Pd", "H", "H"],
  "frac_coords": [[0.8096, 0.0196, 0.6827], [0.3598, 0.3333, 0.6667], [0.3079, 0.6902, 0.1430], [0.1904, 0.3369, 0.0196], [0.6921, 0.3098, 0.8570], [0.6921, 0.1430, 0.4527], [0.3079, 0.8570, 0.5473], [0.5000, 0.0000, 0.0000], [0.1904, 0.9804, 0.3173], [0.1904, 0.6827, 0.6631], [0.6402, 0.6667, 0.3333], [0.8096, 0.3173, 0.3369], [0.8096, 0.6631, 0.9804], [0.3079, 0.4527, 0.3098], [0.6921, 0.5473, 0.6902]]
}



2.
{
  "formula": "CeSiOs2C",
  "functional": "PBE-GGA",
  "state": "optimized geometry",
  "magmom_total_mub_per_cell": 0.0,
  "e_form_raw_ev_per_atom": -0.498,
  "spacegroup": "Cmcm (63)",
  "lattice": [[5.9280, -0.0042, 0.0000], [-4.6103, 3.7264, 0.0000], [0.0000, 0.0000, 7.1334]],
  "species": ["Ce", "C", "Si", "C", "Si", "Ce", "Os", "Os", "Os", "Os"],
  "frac_coords": [[0.5524, 0.4476, 0.2500], [0.0000, 0.0000, 0.0000], [0.2722, 0.7278, 0.2500], [0.0000, 0.0000, 0.5000], [0.7278, 0.2722, 0.7500], [0.4476, 0.5524, 0.7500], [0.8343, 0.1657, 0.4427], [0.1657, 0.8343, 0.9427], [0.1657, 0.8343, 0.5573], [0.8343, 0.1657, 0.0573]]
}



3.
{
  "formula": "ErCuTe2",
  "functional": "PBE-GGA",
  "state": "optimized geometry",
  "magmom_total_mub_per_cell": 0.0,
  "e_form_raw_ev_per_atom": -0.674,
  "spacegroup": "R3m (160)",
  "lattice": [[-1.4460, 0.7236, -3.8091], [-0.2697, -3.0951, -2.7334], [-7.0672, -2.1706, 0.0227]],
  "species": ["Te", "Te", "Cu", "Er"],
  "frac_coords": [[0.2599, 0.2599, 0.2204], [0.0746, 0.0746, 0.7761], [0.6637, 0.6637, 0.0088], [0.5017, 0.5017, 0.4948]]
}



4.
{
  "formula": "AgBPt2",
  "functional": "PBE-GGA",
  "state": "optimized geometry",
  "magmom_total_mub_per_cell": 0.0,
  "spacegroup": "I-42d (122)",
  "ef_ev_per_atom": -0.087,
  "lattice": [[-5.3431, 2.1787, 3.3140], [0.0409, -5.5297, 3.7013], [-1.0433, -0.4623, 5.3023]],
  "species": ["B", "Pt", "B", "Pt", "Pt", "Pt", "Ag", "Ag"],
  "frac_coords": [[0.5000, 0.5000, 0.0000], [0.8750, 0.7809, 0.7500], [0.2500, 0.7500, 0.5000], [0.5309, 0.1250, 0.2500], [0.3750, 0.4691, 0.7500], [0.2191, 0.6250, 0.2500], [0.0000, 0.0000, 0.0000], [0.7500, 0.2500, 0.5000]]
}



5.
{
  "formula": "TbDy4Ho6",
  "functional": "PBE-GGA",
  "state": "optimized geometry",
  "magmom_total_mub_per_cell": 0.0,
  "de_polymorph_ev_per_atom": 0.000,
  "spacegroup": "Cmcm (63)",
  "ef_ev_per_atom": 0.128,
  "lattice": [[-3.7504, 2.2439, 3.5845], [1.3400, -5.3803, 0.3135], [18.8463, 5.6370, 16.1899]],
  "species": ["Dy", "Tb", "Dy", "Dy", "Dy", "Ho", "Dy", "Ho", "Dy", "Tb", "Ho", "Ho", "Ho", "Ho", "Dy", "Ho", "Ho", "Ho", "Ho", "Dy", "Ho", "Ho"],
  "frac_coords": [[0.4728, 0.9456, 0.1213], [0.1848, 0.3697, 0.7500], [0.8423, 0.6846, 0.9575], [0.5272, 0.0544, 0.8787], [0.1577, 0.3154, 0.4575], [0.8551, 0.7103, 0.8184], [0.8423, 0.6846, 0.5425], [0.1449, 0.2897, 0.1816], [0.4728, 0.9456, 0.3787], [0.8152, 0.6303, 0.2500], [0.5189, 0.0378, 0.7500], [0.8112, 0.6224, 0.1042], [0.8551, 0.7103, 0.6816], [0.1888, 0.3776, 0.8958], [0.1577, 0.3154, 0.0425], [0.5000, 0.0000, 0.5000], [0.1449, 0.2897, 0.3184], [0.5000, 0.0000, 0.0000], [0.8112, 0.6224, 0.3958], [0.5272, 0.0544, 0.6213], [0.4811, 0.9622, 0.2500], [0.1888, 0.3776, 0.6042]]
}



6.
{
  "formula": "Th5BiSb4",
  "functional": "PBE-GGA",
  "state": "optimized geometry",
  "magmom_total_mub_per_cell": 0.0,
  "e_form_raw_ev_per_atom": -0.831,
  "spacegroup": "I4/mmm (139)",
  "lattice": [[4.5232, 0.0000, 0.0000], [0.0000, 4.5232, 0.0000], [-2.2616, -2.2616, 16.0051]],
  "species": ["Bi", "Th", "Th", "Sb", "Th", "Th", "Sb", "Sb", "Th", "Sb"],
  "frac_coords": [[0.0000, 0.0000, 0.0000], [0.1023, 0.1023, 0.2047], [0.5000, 0.5000, 0.0000], [0.2014, 0.2014, 0.4027], [0.8977, 0.8977, 0.7953], [0.6991, 0.6991, 0.3982], [0.4005, 0.4005, 0.8009], [0.5995, 0.5995, 0.1991], [0.3009, 0.3009, 0.6018], [0.7986, 0.7986, 0.5973]]
}



7.
{
  "formula": "BeZnPW2",
  "functional": "PBE-GGA",
  "state": "optimized geometry",
  "magmom_total_mub_per_cell": 0.0,
  "spacegroup": "P4/mmm (123)",
  "ef_ev_per_atom": 0.960,
  "lattice": [[4.3602, 0.0000, 0.0000], [0.0000, 3.7636, 0.0000], [0.0000, 0.0000, 4.3602]],
  "species": ["Zn", "Be", "W", "W", "P"],
  "frac_coords": [[0.0000, 0.5000, 0.0000], [0.0000, 0.0000, 0.0000], [0.0000, 0.0000, 0.5000], [0.5000, 0.0000, 0.0000], [0.5000, 0.5000, 0.5000]]
}



8.
{
  "formula": "NaLi2Nb",
  "functional": "PBE-GGA",
  "state": "optimized geometry",
  "magmom_total_mub_per_cell": 0.1,
  "de_polymorph_ev_per_atom": 0.501,
  "spacegroup": "Fm-3m (225)",
  "ef_ev_per_atom": 0.904,
  "lattice": [[0.0000, 3.3814, 3.3814], [3.3814, 0.0000, 3.3814], [3.3814, 3.3814, 0.0000]],
  "species": ["Nb", "Li", "Na", "Li"],
  "frac_coords": [[0.5000, 0.5000, 0.5000], [0.2500, 0.2500, 0.2500], [0.0000, 0.0000, 0.0000], [0.7500, 0.7500, 0.7500]]
}



9.
{
  "formula": "TcSbSe2",
  "functional": "PBE-GGA",
  "state": "optimized geometry",
  "magmom_total_mub_per_cell": 0.0,
  "e_form_raw_ev_per_atom": 0.091,
  "spacegroup": "Imm2 (44)",
  "lattice": [[-3.9911, -3.9528, -3.7983], [0.6983, -6.3126, -2.3757], [-0.2446, 4.6072, 4.9694]],
  "species": ["Tc", "Sb", "Se", "Se"],
  "frac_coords": [[0.4813, 0.4813, 0.0000], [0.6748, 0.1748, 0.5000], [0.0193, 0.0193, 0.0000], [0.3247, 0.8247, 0.5000]]
}



10.
{
  "formula": "MgCuF6",
  "functional": "PBE-GGA",
  "state": "optimized geometry",
  "magmom_total_mub_per_cell": 1.0,
  "e_form_raw_ev_per_atom": -1.925,
  "spacegroup": "P312 (149)",
  "lattice": [[-1.7276, 3.4294, 2.4875], [-3.5177, 0.5631, -3.2195], [-0.5962, -2.9906, 3.7090]],
  "species": ["F", "Mg", "F", "F", "F", "F", "Cu", "F"],
  "frac_coords": [[0.7621, 0.6675, 0.0190], [0.5000, 0.0000, 0.0000], [0.2379, 0.9810, 0.3325], [0.7621, 0.9810, 0.6485], [0.7621, 0.3515, 0.3325], [0.2379, 0.3515, 0.0190], [0.0000, 0.6667, 0.3333], [0.2379, 0.6675, 0.6485]]
}



11.
{
  "formula": "BaPrMg2Cd4",
  "functional": "PBE-GGA",
  "state": "optimized geometry",
  "magmom_total_mub_per_cell": 0.0,
  "spacegroup": "R-3m (166)",
  "ef_ev_per_atom": -0.264,
  "lattice": [[5.3330, 0.0000, 0.0000], [2.6665, 4.6185, 0.0000], [2.6665, 1.5395, 8.8591]],
  "species": ["Mg", "Cd", "Cd", "Mg", "Cd", "Cd", "Ba", "Pr"],
  "frac_coords": [[0.2460, 0.2460, 0.2619], [0.6192, 0.6192, 0.1423], [0.8722, 0.8722, 0.3835], [0.7540, 0.7540, 0.7381], [0.1278, 0.1278, 0.6165], [0.3808, 0.3808, 0.8577], [0.0000, 0.0000, 0.0000], [0.5000, 0.5000, 0.5000]]
}



12.
{
  "formula": "Ni3Ir",
  "functional": "PBE-GGA",
  "state": "optimized geometry",
  "magmom_total_mub_per_cell": 1.8,
  "spacegroup": "Cmmm (65)",
  "ef_ev_per_atom": 0.208,
  "lattice": [[-1.7920, 0.0572, 1.8365], [-0.7035, -0.7736, -2.3439], [1.8771, -8.0127, 2.0812]],
  "species": ["Ir", "Ni", "Ni", "Ni"],
  "frac_coords": [[0.0000, 0.0000, 0.0000], [0.5000, 0.5000, 0.7400], [0.0000, 0.0000, 0.5000], [0.5000, 0.5000, 0.2600]]
}



13.
{
  "formula": "CsBaBi2",
  "functional": "PBE-GGA",
  "state": "optimized geometry",
  "magmom_total_mub_per_cell": 0.0,
  "de_polymorph_ev_per_atom": 0.147,
  "spacegroup": "P4/mmm (123)",
  "ef_ev_per_atom": -0.460,
  "lattice": [[5.3986, 0.0000, 0.0000], [0.0000, 5.4828, 0.0000], [0.0000, 0.0000, 5.4828]],
  "species": ["Bi", "Bi", "Ba", "Cs"],
  "frac_coords": [[0.0000, 0.5000, 0.0000], [0.0000, 0.0000, 0.5000], [0.5000, 0.0000, 0.0000], [0.5000, 0.5000, 0.5000]]
}



14.
{
  "formula": "ErCd2Sb",
  "functional": "PBE-GGA",
  "state": "optimized geometry",
  "magmom_total_mub_per_cell": 0.0,
  "e_form_raw_ev_per_atom": -0.430,
  "spacegroup": "P4/mmm (123)",
  "lattice": [[5.0903, 0.0000, 0.0000], [0.0000, 4.3882, 0.0000], [0.0000, 0.0000, 4.3882]],
  "species": ["Cd", "Er", "Sb", "Cd"],
  "frac_coords": [[0.0000, 0.5000, 0.0000], [0.5000, 0.0000, 0.0000], [0.5000, 0.5000, 0.5000], [0.0000, 0.0000, 0.5000]]
}



15.
{
  "formula": "Ba2TlSe",
  "functional": "PBE-GGA",
  "state": "optimized geometry",
  "magmom_total_mub_per_cell": 0.5,
  "e_form_raw_ev_per_atom": -0.997,
  "de_polymorph_ev_per_atom": 0.079,
  "spacegroup": "Imm2 (44)",
  "lattice": [[9.5553, -0.0067, -0.0013], [7.6508, 5.7244, 0.0013], [-8.5629, -2.9799, 3.0169]],
  "species": ["Tl", "Ba", "Se", "Ba"],
  "frac_coords": [[0.2997, 0.7997, 0.5000], [0.6872, 0.1872, 0.5000], [0.5441, 0.5441, 0.0000], [0.9690, 0.9690, 0.0000]]
}



16.
{
  "formula": "CePmNp2N4",
  "functional": "PBE-GGA",
  "state": "optimized geometry",
  "magmom_total_mub_per_cell": 6.7,
  "e_form_raw_ev_per_atom": -1.293,
  "spacegroup": "P2/m (10)",
  "lattice": [[-0.0130, 3.2673, 1.2751], [-3.1913, 1.8725, -4.8304], [-3.8341, -1.7383, 4.4152]],
  "species": ["Np", "Np", "N", "Pm", "N", "N", "Ce", "N"],
  "frac_coords": [[0.5000, 0.0000, 0.5000], [0.0000, 0.5000, 0.5000], [0.5000, 0.7423, 0.7249], [0.5000, 0.5000, 0.0000], [0.0000, 0.7607, 0.2795], [0.0000, 0.2393, 0.7205], [0.0000, 0.0000, 0.0000], [0.5000, 0.2577, 0.2751]]
}



17.
{
  "formula": "Mg2BeSi2Rh5",
  "functional": "PBE-GGA",
  "state": "optimized geometry",
  "magmom_total_mub_per_cell": 0.0,
  "e_form_raw_ev_per_atom": -0.701,
  "spacegroup": "P4/mbm (127)",
  "lattice": [[3.0428, 0.0000, 0.0000], [0.0000, 9.6427, 0.0000], [0.0000, 0.0000, 9.6427]],
  "species": ["Be", "Mg", "Mg", "Mg", "Rh", "Si", "Rh", "Rh", "Rh", "Rh", "Si", "Si", "Rh", "Rh", "Rh", "Be", "Mg", "Rh", "Si", "Rh"],
  "frac_coords": [[0.0000, 0.0000, 0.0000], [0.0000, 0.3302, 0.8302], [0.0000, 0.8302, 0.6698], [0.0000, 0.1698, 0.3302], [0.5000, 0.0000, 0.5000], [0.0000, 0.3651, 0.1349], [0.5000, 0.1933, 0.0704], [0.5000, 0.8067, 0.9296], [0.5000, 0.0704, 0.8067], [0.5000, 0.6933, 0.4296], [0.0000, 0.6349, 0.8651], [0.0000, 0.8651, 0.3651], [0.5000, 0.3067, 0.5704], [0.5000, 0.5704, 0.6933], [0.5000, 0.5000, 0.0000], [0.0000, 0.5000, 0.5000], [0.0000, 0.6698, 0.1698], [0.5000, 0.4296, 0.3067], [0.0000, 0.1349, 0.6349], [0.5000, 0.9296, 0.1933]]
}



18.
{
  "formula": "ReMoPt2",
  "functional": "PBE-GGA",
  "state": "optimized geometry",
  "magmom_total_mub_per_cell": 0.0,
  "de_polymorph_ev_per_atom": 0.026,
  "spacegroup": "Pmmm (47)",
  "ef_ev_per_atom": -0.128,
  "lattice": [[-0.1013, 3.6090, -1.9698], [-1.5433, -1.1090, -1.9524], [-6.0379, 0.2736, 0.8119]],
  "species": ["Pt", "Pt", "Re", "Mo"],
  "frac_coords": [[0.0000, 0.9986, 0.0015], [0.0000, 0.5014, 0.4985], [0.5000, 0.2500, 0.2500], [0.5000, 0.7500, 0.7500]]
}



19.
{
  "formula": "Li2Tm3Pt5",
  "functional": "PBE-GGA",
  "state": "optimized geometry",
  "magmom_total_mub_per_cell": 0.0,
  "spacegroup": "P4/mbm (127)",
  "ef_ev_per_atom": -1.046,
  "lattice": [[3.6945, 0.0000, 0.0000], [0.0000, 9.6684, 0.0000], [0.0000, 0.0000, 9.6684]],
  "species": ["Pt", "Li", "Pt", "Pt", "Tm", "Pt", "Pt", "Pt", "Li", "Tm", "Li", "Pt", "Pt", "Pt", "Li", "Pt", "Tm", "Tm", "Tm", "Tm"],
  "frac_coords": [[0.5000, 0.2146, 0.0706], [0.0000, 0.1206, 0.6206], [0.5000, 0.0706, 0.7854], [0.5000, 0.4294, 0.2854], [0.0000, 0.5000, 0.5000], [0.5000, 0.2854, 0.5706], [0.5000, 0.7854, 0.9294], [0.5000, 0.0000, 0.5000], [0.0000, 0.6206, 0.8794], [0.0000, 0.6751, 0.1751], [0.0000, 0.8794, 0.3794], [0.5000, 0.7146, 0.4294], [0.5000, 0.9294, 0.2146], [0.5000, 0.5706, 0.7146], [0.0000, 0.3794, 0.1206], [0.5000, 0.5000, 0.0000], [0.0000, 0.1751, 0.3249], [0.0000, 0.8249, 0.6751], [0.0000, 0.3249, 0.8249], [0.0000, 0.0000, 0.0000]]
}



20.
{
  "formula": "AcCd8Ag2",
  "functional": "PBE-GGA",
  "state": "optimized geometry",
  "magmom_total_mub_per_cell": 0.0,
  "spacegroup": "P4/mmm (123)",
  "ef_ev_per_atom": 0.091,
  "lattice": [[7.2978, 0.0000, 0.0000], [0.0000, 7.2978, 0.0000], [0.0000, 0.0000, 5.7674]],
  "species": ["Cd", "Cd", "Cd", "Cd", "Ag", "Cd", "Cd", "Cd", "Cd", "Ac", "Ag"],
  "frac_coords": [[0.2060, 0.2060, 0.2490], [0.2060, 0.7940, 0.7510], [0.7940, 0.2060, 0.2490], [0.7940, 0.2060, 0.7510], [0.5000, 0.0000, 0.0000], [0.7940, 0.7940, 0.7510], [0.2060, 0.2060, 0.7510], [0.7940, 0.7940, 0.2490], [0.2060, 0.7940, 0.2490], [0.5000, 0.5000, 0.5000], [0.0000, 0.5000, 0.0000]]
}



21.
{
  "formula": "BeVRh2",
  "functional": "PBE-GGA",
  "state": "optimized geometry",
  "magmom_total_mub_per_cell": 0.4,
  "spacegroup": "P4/mmm (123)",
  "ef_ev_per_atom": -0.542,
  "lattice": [[-2.5927, 0.5719, 0.9631], [0.1930, -2.1640, 1.8046], [2.3998, 3.7463, 4.2359]],
  "species": ["Be", "V", "Rh", "Rh"],
  "frac_coords": [[0.5000, 0.5000, 0.0000], [0.5000, 0.5000, 0.5000], [0.0000, 0.0000, 0.7733], [0.0000, 0.0000, 0.2267]]
}



22.
{
  "formula": "LaCdIr2",
  "functional": "PBE-GGA",
  "state": "optimized geometry",
  "magmom_total_mub_per_cell": 0.0,
  "spacegroup": "P4mm (99)",
  "ef_ev_per_atom": -0.002,
  "lattice": [[-1.5106, -2.9554, -1.1204], [-0.0057, -1.2392, 3.2766], [-6.5398, 2.9272, 1.0958]],
  "species": ["Cd", "Ir", "Ir", "La"],
  "frac_coords": [[0.5000, 0.5000, 0.7985], [0.5000, 0.5000, 0.1826], [0.0000, 0.0000, 0.0666], [0.0000, 0.0000, 0.4522]]
}



23.
{
  "formula": "PrRh2Au",
  "functional": "PBE-GGA",
  "state": "optimized geometry",
  "magmom_total_mub_per_cell": 0.0,
  "spacegroup": "P4/mmm (123)",
  "ef_ev_per_atom": -0.414,
  "lattice": [[4.0363, 0.0000, 0.0000], [0.0000, 4.3073, 0.0000], [0.0000, 0.0000, 4.3073]],
  "species": ["Rh", "Pr", "Au", "Rh"],
  "frac_coords": [[0.0000, 0.0000, 0.5000], [0.5000, 0.5000, 0.5000], [0.5000, 0.0000, 0.0000], [0.0000, 0.5000, 0.0000]]
}



24.
{
  "formula": "Ho3TmCo2",
  "functional": "PBE-GGA",
  "state": "optimized geometry",
  "magmom_total_mub_per_cell": 0.0,
  "de_polymorph_ev_per_atom": 0.000,
  "spacegroup": "C2/m (12)",
  "ef_ev_per_atom": -0.178,
  "lattice": [[0.1048, 3.6537, 0.7418], [-5.0561, 0.7107, 6.5907], [6.2894, 0.1871, 7.5662]],
  "species": ["Ho", "Ho", "Co", "Ho", "Co", "Ho", "Co", "Tm", "Co", "Ho", "Tm", "Ho"],
  "frac_coords": [[0.5836, 0.2743, 0.5586], [0.5838, 0.7706, 0.0618], [0.2319, 0.5835, 0.9526], [0.1599, 0.9262, 0.7541], [0.2326, 0.0831, 0.4516], [0.4164, 0.7257, 0.4414], [0.7674, 0.9169, 0.5484], [0.8397, 0.5737, 0.7470], [0.7681, 0.4165, 0.0474], [0.8401, 0.0738, 0.2459], [0.1603, 0.4263, 0.2530], [0.4162, 0.2294, 0.9382]]
}